{
  "formula": "LiTe2P",
  "functional": "PBEsol",
  "state": "optimized geometry",
  "lattice_angstrom": [[3.972, 0.000, 0.000], [0.000, 3.992, 0.000], [0.000, 0.000, 5.582]],
  "species": ["Li", "Te", "Te", "P"],
  "frac_coords": [[0.000, 0.000, 0.000], [0.500, 0.000, 0.500], [0.500, 0.500, 0.000], [0.000, 0.500, 0.500]],
  "dos_ef_per_ev_cell": 2.1,
  "space_group": "Pmmm (47)",
  "formation_energy_uncorrected_ev_per_fu": 0.165,
  "e_tot_ev_per_cell": -14.65,
  "magmom_total_mub_per_fu": 0.00
}